Entry 1:
LiFeF4 | PBEsol | relaxed

```
LiFeF4
1.0
4.9986 0.0000 0.0000
2.3277 4.8290 0.0000
0.1545 1.6620 5.4316
Li Fe F
2 2 8
Direct
0.0000 0.0000 0.0000
0.4517 0.0942 0.2418
0.2248 0.5803 0.5808
0.7094 0.5905 0.8831
0.1251 0.3627 0.9176
0.2243 0.3146 0.4424
0.2428 0.8524 0.3009
0.2953 0.7947 0.8108
0.6607 0.3728 0.7001
0.6810 0.3271 0.1454
0.7373 0.8234 0.0525
0.7868 0.8099 0.5960
```

Output
Fermi-level density of states   9.26 states/eV/cell
E_form (uncorrected)   -2.306 eV/atom
Space-group type   P1 (1)
E above lowest polymorph   9.1 kJ per mole of atoms

Entry 2:
La3Y | PBEsol | relaxed

```
La3Y
1.0
3.6138 0.0000 0.0000
0.0000 3.6138 0.0000
0.0000 0.0000 10.1246
La Y
3 1
Direct
0.0000 0.0000 0.0000
0.5000 0.5000 0.2513
0.5000 0.5000 0.7487
0.0000 0.0000 0.5000
```

Output
Fermi-level density of states   6.57 states/eV/cell
DFT formation energy   16 meV per atom
Space-group type   P4/mmm (123)

Entry 3:
BaBi12Mo5O34 | PBEsol | relaxed

```
BaBi12Mo5O34
1.0
11.7110 0.0000 0.0000
0.0000 5.7339 0.0000
-5.2492 0.0000 24.3587
Ba Bi Mo O
2 24 10 68
Direct
0.0000 0.0000 0.0000
0.0000 0.0000 0.5000
0.1340 0.0478 0.1790
0.1340 0.9522 0.6790
0.2293 0.0494 0.3411
0.2293 0.9506 0.8411
0.2565 0.4570 0.6021
0.2565 0.5430 0.1021
0.3429 0.4773 0.2552
0.3429 0.5227 0.7552
0.4189 0.4577 0.9076
0.4189 0.5423 0.4076
0.4575 0.0234 0.6737
0.4575 0.9766 0.1737
0.5425 0.0234 0.8263
0.5425 0.9766 0.3263
0.5811 0.4577 0.5924
0.5811 0.5423 0.0924
0.6571 0.4773 0.2448
0.6571 0.5227 0.7448
0.7435 0.4570 0.8979
0.7435 0.5430 0.3979
0.7707 0.0494 0.1589
0.7707 0.9506 0.6589
0.8660 0.0478 0.3210
0.8660 0.9522 0.8210
0.0000 0.4453 0.7500
0.0000 0.5547 0.2500
0.0746 0.4940 0.9181
0.0746 0.5060 0.4181
0.3492 0.0311 0.0124
0.3492 0.9689 0.5124
0.6508 0.0311 0.4876
0.6508 0.9689 0.9876
0.9254 0.4940 0.5819
0.9254 0.5060 0.0819
0.0017 0.2340 0.6056
0.0017 0.7660 0.1056
0.0072 0.3852 0.3096
0.0072 0.6148 0.8096
0.0259 0.2688 0.0881
0.0259 0.7312 0.5881
0.1188 0.4427 0.9885
0.1188 0.5573 0.4885
0.1242 0.2592 0.7589
0.1242 0.7408 0.2589
0.2029 0.4353 0.3933
0.2029 0.5647 0.8933
0.2144 0.1841 0.2593
0.2144 0.8159 0.7593
0.2299 0.0830 0.5377
0.2299 0.9170 0.0377
0.2682 0.2071 0.6708
0.2682 0.7929 0.1708
0.2735 0.2869 0.1669
0.2735 0.7131 0.6669
0.2986 0.0965 0.9418
0.2986 0.9035 0.4418
0.3611 0.2134 0.8373
0.3611 0.7866 0.3373
0.3810 0.2717 0.3439
0.3810 0.7283 0.8439
0.3938 0.2806 0.0541
0.3938 0.7194 0.5541
0.4353 0.3813 0.6308
0.4353 0.6187 0.1308
0.4555 0.1910 0.5215
0.4555 0.8090 0.0215
0.5000 0.2216 0.7500
0.5000 0.2614 0.2500
0.5000 0.7386 0.7500
0.5000 0.7784 0.2500
0.5445 0.1910 0.9785
0.5445 0.8090 0.4785
0.5647 0.3813 0.8692
0.5647 0.6187 0.3692
0.6062 0.2806 0.4459
0.6062 0.7194 0.9459
0.6190 0.2717 0.1561
0.6190 0.7283 0.6561
0.6389 0.2134 0.6627
0.6389 0.7866 0.1627
0.7014 0.0965 0.5582
0.7014 0.9035 0.0582
0.7265 0.2869 0.3331
0.7265 0.7131 0.8331
0.7318 0.2071 0.8292
0.7318 0.7929 0.3292
0.7701 0.0830 0.9623
0.7701 0.9170 0.4623
0.7856 0.1841 0.2407
0.7856 0.8159 0.7407
0.7971 0.4353 0.1067
0.7971 0.5647 0.6067
0.8758 0.2592 0.7411
0.8758 0.7408 0.2411
0.8812 0.4427 0.5115
0.8812 0.5573 0.0115
0.9741 0.2688 0.4119
0.9741 0.7312 0.9119
0.9928 0.3852 0.1904
0.9928 0.6148 0.6904
0.9983 0.2340 0.8944
0.9983 0.7660 0.3944
```

Output
Fermi-level density of states   0.00 states/eV/cell
E_form (uncorrected)   -1.670 eV/atom
Space-group type   P2/c (13)

Entry 4:
Ni5Ir3 | PBEsol | relaxed

```
Ni5Ir3
1.0
7.1050 0.0000 0.0000
0.0000 7.2964 0.0000
0.0000 0.0000 3.6511
Ni Ir
10 6
Direct
0.0000 0.0000 0.0000
0.2468 0.0000 0.5000
0.2500 0.2500 0.0000
0.2500 0.7500 0.0000
0.2532 0.5000 0.5000
0.5000 0.5000 0.0000
0.7468 0.5000 0.5000
0.7500 0.2500 0.0000
0.7500 0.7500 0.0000
0.7532 0.0000 0.5000
0.0000 0.2467 0.5000
0.0000 0.5000 0.0000
0.0000 0.7533 0.5000
0.5000 0.0000 0.0000
0.5000 0.2533 0.5000
0.5000 0.7467 0.5000
```

Output
Fermi-level density of states   21.62 states/eV/cell
DFT formation energy   33 meV per atom
Space-group type   Cmmm (65)

Entry 5:
NaAgTe2 | PBEsol | relaxed

```
NaAgTe2
1.0
8.3425 0.0000 0.0000
0.0000 8.3425 0.0000
0.0000 0.0000 6.0571
Na Ag Te
4 4 8
Direct
0.0000 0.0000 0.0000
0.0000 0.5000 0.2500
0.5000 0.0000 0.7500
0.5000 0.5000 0.5000
0.0000 0.0000 0.5000
0.0000 0.5000 0.7500
0.5000 0.0000 0.2500
0.5000 0.5000 0.0000
0.2016 0.2500 0.6250
0.2500 0.7016 0.8750
0.2500 0.7984 0.3750
0.2984 0.2500 0.1250
0.7016 0.7500 0.1250
0.7500 0.2016 0.3750
0.7500 0.2984 0.8750
0.7984 0.7500 0.6250
```

Output
Fermi-level density of states   3.39 states/eV/cell
E_form (uncorrected)   -0.318 eV/atom
Space-group type   I-42d (122)
E above lowest polymorph   0.0 kJ per mole of atoms

Entry 6:
MnSb2Cl | PBEsol | relaxed

```
MnSb2Cl
1.0
5.6235 0.0000 0.0000
0.0000 5.6235 0.0000
0.0000 0.0000 6.0465
Mn Sb Cl
2 4 2
Direct
0.0000 0.0000 0.0000
0.5000 0.5000 0.5000
0.0000 0.5000 0.0000
0.0000 0.5000 0.5000
0.5000 0.0000 0.0000
0.5000 0.0000 0.5000
0.0000 0.0000 0.5000
0.5000 0.5000 0.0000
```

Output
Fermi-level density of states   4.12 states/eV/cell
E_form (uncorrected)   0.175 eV/atom
Space-group type   I4/mmm (139)
E above lowest polymorph   20.6 kJ per mole of atoms

Entry 7:
TaCd2Cl | PBEsol | relaxed

```
TaCd2Cl
1.0
3.0258 0.0000 0.0000
0.0000 3.0258 0.0000
0.0000 0.0000 8.4673
Ta Cd Cl
1 2 1
Direct
0.0000 0.0000 0.0000
0.5000 0.5000 0.2470
0.5000 0.5000 0.7530
0.0000 0.0000 0.5000
```

Output
Fermi-level density of states   1.70 states/eV/cell
E_form (uncorrected)   0.063 eV/atom
Space-group type   P4/mmm (123)
E above lowest polymorph   11.2 kJ per mole of atoms

Entry 8:
Ca2AgPd2 | PBEsol | relaxed

```
Ca2AgPd2
1.0
4.4643 0.0000 0.0000
0.0000 5.6612 0.0000
0.0000 0.0000 8.3558
Ca Ag Pd
4 2 4
Direct
0.0000 0.0000 0.2012
0.0000 0.0000 0.7988
0.5000 0.5000 0.2988
0.5000 0.5000 0.7012
0.0000 0.5000 0.0000
0.5000 0.0000 0.5000
0.0000 0.2663 0.5000
0.0000 0.7337 0.5000
0.5000 0.2337 0.0000
0.5000 0.7663 0.0000
```

Output
Fermi-level density of states   3.09 states/eV/cell
DFT formation energy   -572 meV per atom
Space-group type   Immm (71)
E above lowest polymorph   0.0 kJ per mole of atoms

Entry 9:
Ba4La2SbRuO12 | PBEsol | relaxed

```
Ba4La2SbRuO12
1.0
6.0250 0.0000 0.0000
-2.9563 5.2509 0.0000
-2.9520 -1.7704 9.9311
Ba La Sb Ru O
4 2 1 1 12
Direct
0.2412 0.1232 0.3700
0.2549 0.6312 0.8826
0.7451 0.3688 0.1174
0.7588 0.8768 0.6300
0.4977 0.7484 0.2503
0.5023 0.2516 0.7497
0.0000 0.5000 0.5000
0.0000 0.0000 0.0000
0.1695 0.5865 0.3549
0.1918 0.0973 0.8681
0.2229 0.3581 0.0954
0.2329 0.8710 0.5917
0.2665 0.9232 0.1103
0.2825 0.4283 0.6078
0.7175 0.5717 0.3922
0.7335 0.0768 0.8897
0.7671 0.1290 0.4083
0.7771 0.6419 0.9046
0.8082 0.9027 0.1319
0.8305 0.4135 0.6451
```

Output
E_form (uncorrected)   -2.529 eV/atom
Space-group type   P-1 (2)

Entry 10:
Zr2ScRh | PBEsol | relaxed

```
Zr2ScRh
1.0
3.2512 0.0000 0.0000
0.0000 3.2512 0.0000
0.0000 0.0000 7.3692
Zr Sc Rh
2 1 1
Direct
0.0000 0.0000 0.0000
0.5000 0.5000 0.2781
0.5000 0.5000 0.7067
0.0000 0.0000 0.4908
```

Output
Fermi-level density of states   5.47 states/eV/cell
DFT formation energy   -426 meV per atom
Space-group type   P4mm (99)

Entry 11:
LaTcPb | PBEsol | relaxed

```
LaTcPb
1.0
6.8771 0.0000 0.0000
0.0000 6.8771 0.0000
0.0000 0.0000 6.8771
La Tc Pb
4 4 4
Direct
0.0000 0.0000 0.0000
0.0000 0.5000 0.5000
0.5000 0.0000 0.5000
0.5000 0.5000 0.0000
0.0000 0.0000 0.5000
0.0000 0.5000 0.0000
0.5000 0.0000 0.0000
0.5000 0.5000 0.5000
0.2500 0.2500 0.7500
0.2500 0.7500 0.2500
0.7500 0.2500 0.2500
0.7500 0.7500 0.7500
```

Output
Fermi-level density of states   10.64 states/eV/cell
DFT formation energy   694 meV per atom
Space-group type   F-43m (216)

Entry 12:
CaAl10Cr2 | PBEsol | relaxed

```
CaAl10Cr2
1.0
12.7739 0.0000 0.0000
0.0000 12.7739 0.0000
0.0000 0.0000 5.0976
Ca Al Cr
4 40 8
Direct
0.2500 0.2500 0.0231
0.2500 0.7500 0.5000
0.7500 0.2500 0.5000
0.7500 0.7500 0.9769
0.0121 0.2500 0.2503
0.0757 0.0757 0.9834
0.0757 0.4243 0.9834
0.0766 0.5766 0.5000
0.0766 0.9234 0.5000
0.1372 0.6372 0.0000
0.1372 0.8628 0.0000
0.1413 0.1413 0.5388
0.1413 0.3587 0.5388
0.2500 0.0121 0.2503
0.2500 0.4879 0.2503
0.3587 0.1413 0.5388
0.3587 0.3587 0.5388
0.3628 0.6372 0.0000
0.3628 0.8628 0.0000
0.4234 0.5766 0.5000
0.4234 0.9234 0.5000
0.4243 0.0757 0.9834
0.4243 0.4243 0.9834
0.4879 0.2500 0.2503
0.5121 0.7500 0.7497
0.5757 0.5757 0.0166
0.5757 0.9243 0.0166
0.5766 0.0766 0.5000
0.5766 0.4234 0.5000
0.6372 0.1372 0.0000
0.6372 0.3628 0.0000
0.6413 0.6413 0.4612
0.6413 0.8587 0.4612
0.7500 0.5121 0.7497
0.7500 0.9879 0.7497
0.8587 0.6413 0.4612
0.8587 0.8587 0.4612
0.8628 0.1372 0.0000
0.8628 0.3628 0.0000
0.9234 0.0766 0.5000
0.9234 0.4234 0.5000
0.9243 0.5757 0.0166
0.9243 0.9243 0.0166
0.9879 0.7500 0.7497
0.0101 0.7500 0.2436
0.2500 0.5101 0.7564
0.2500 0.9899 0.7564
0.4899 0.7500 0.2436
0.5101 0.2500 0.7564
0.7500 0.0101 0.2436
0.7500 0.4899 0.2436
0.9899 0.2500 0.7564
```

Output
Fermi-level density of states   33.11 states/eV/cell
DFT formation energy   -171 meV per atom
Space-group type   P4/nmm (129)

Entry 13:
Ba2TlBr | PBEsol | relaxed

```
Ba2TlBr
1.0
4.5866 0.0000 0.0000
-2.2933 3.9721 0.0000
0.0000 0.0000 26.3872
Ba Tl Br
6 3 3
Direct
0.0000 0.0000 0.2480
0.0000 0.0000 0.7520
0.3333 0.6667 0.4186
0.3333 0.6667 0.9147
0.6667 0.3333 0.0853
0.6667 0.3333 0.5814
0.0000 0.0000 0.0000
0.3333 0.6667 0.6667
0.6667 0.3333 0.3333
0.0000 0.0000 0.5000
0.3333 0.6667 0.1667
0.6667 0.3333 0.8333
```

Output
Fermi-level density of states   9.91 states/eV/cell
E_form (uncorrected)   -0.985 eV/atom
Space-group type   R-3m (166)
E above lowest polymorph   2.1 kJ per mole of atoms

Entry 14:
B2PtI | PBEsol | relaxed

```
B2PtI
1.0
5.2141 0.0000 0.0000
0.0000 5.2141 0.0000
0.0000 0.0000 10.3408
B Pt I
8 4 4
Direct
0.1652 0.2500 0.1250
0.2500 0.6652 0.3750
0.2500 0.8348 0.8750
0.3348 0.2500 0.6250
0.6652 0.7500 0.6250
0.7500 0.1652 0.8750
0.7500 0.3348 0.3750
0.8348 0.7500 0.1250
0.0000 0.0000 0.0000
0.0000 0.5000 0.2500
0.5000 0.0000 0.7500
0.5000 0.5000 0.5000
0.0000 0.0000 0.5000
0.0000 0.5000 0.7500
0.5000 0.0000 0.2500
0.5000 0.5000 0.0000
```

Output
Fermi-level density of states   5.39 states/eV/cell
E_form (uncorrected)   0.707 eV/atom
Space-group type   I-42d (122)

Entry 15:
CuPtAu2 | PBEsol | relaxed

```
CuPtAu2
1.0
4.5534 0.0000 0.0000
0.0000 4.5534 0.0000
0.0000 0.0000 2.9496
Cu Pt Au
1 1 2
Direct
0.0000 0.0000 0.0000
0.5000 0.5000 0.0000
0.0000 0.5000 0.5000
0.5000 0.0000 0.5000
```

Output
Fermi-level density of states   1.49 states/eV/cell
DFT formation energy   10 meV per atom
Space-group type   P4/mmm (123)
E above lowest polymorph   5.3 kJ per mole of atoms

Entry 16:
MnSn2Pd | PBEsol | relaxed

```
MnSn2Pd
1.0
6.5413 0.0000 0.0000
0.0000 6.5413 0.0000
0.0000 0.0000 6.5413
Mn Sn Pd
4 8 4
Direct
0.0000 0.0000 0.0000
0.0000 0.5000 0.5000
0.5000 0.0000 0.5000
0.5000 0.5000 0.0000
0.2500 0.2500 0.2500
0.2500 0.2500 0.7500
0.2500 0.7500 0.2500
0.2500 0.7500 0.7500
0.7500 0.2500 0.2500
0.7500 0.2500 0.7500
0.7500 0.7500 0.2500
0.7500 0.7500 0.7500
0.0000 0.0000 0.5000
0.0000 0.5000 0.0000
0.5000 0.0000 0.0000
0.5000 0.5000 0.5000
```

Output
Fermi-level density of states   16.31 states/eV/cell
DFT formation energy   -1 meV per atom
Space-group type   Fm-3m (225)

Entry 17:
CuOsF2 | PBEsol | relaxed

```
CuOsF2
1.0
2.6456 0.0000 0.0000
-1.3228 2.2912 0.0000
0.0000 0.0000 22.0797
Cu Os F
3 3 6
Direct
0.0000 0.0000 0.0000
0.3333 0.6667 0.6667
0.6667 0.3333 0.3333
0.0000 0.0000 0.5000
0.3333 0.6667 0.1667
0.6667 0.3333 0.8333
0.0000 0.0000 0.4092
0.0000 0.0000 0.5908
0.3333 0.6667 0.0759
0.3333 0.6667 0.2574
0.6667 0.3333 0.7426
0.6667 0.3333 0.9241
```

Output
Fermi-level density of states   7.57 states/eV/cell
E_form (uncorrected)   -0.595 eV/atom
Space-group type   R-3m (166)
E above lowest polymorph   0.0 kJ per mole of atoms

Entry 18:
BaSbAu | PBEsol | relaxed

```
BaSbAu
1.0
4.7507 0.0000 0.0000
-2.3754 4.1143 0.0000
0.0000 0.0000 9.2751
Ba Sb Au
2 2 2
Direct
0.0000 0.0000 0.0000
0.0000 0.0000 0.5000
0.3333 0.6667 0.2500
0.6667 0.3333 0.7500
0.3333 0.6667 0.7500
0.6667 0.3333 0.2500
```

Output
Fermi-level density of states   0.39 states/eV/cell
E_form (uncorrected)   -0.913 eV/atom
Space-group type   P6_3/mmc (194)

Entry 19:
TcOs2Pt | PBEsol | relaxed

```
TcOs2Pt
1.0
3.8444 0.0000 0.0000
0.0000 3.8444 0.0000
0.0000 0.0000 3.8166
Tc Os Pt
1 2 1
Direct
0.0000 0.0000 0.0000
0.0000 0.5000 0.5000
0.5000 0.0000 0.5000
0.5000 0.5000 0.0000
```

Output
Fermi-level density of states   3.16 states/eV/cell
DFT formation energy   35 meV per atom
Space-group type   P4/mmm (123)
E above lowest polymorph   1.1 kJ per mole of atoms

Total magnetization / μB per cell: 6.0 0.0 0.0 0.0 0.0 8.7 0.0 0.0 3.0 0.0 1.3 0.2 0.0 0.0 0.0 11.2 0.0 0.0 0.0
Calculated density / Mg/m³: 3.5 6.3 7.4 15.3 6.1 5.8 9.5 6.3 6.6 7.0 9.1 3.3 5.8 8.1 17.7 9.5 10.9 8.4 19.8